{"formula": "Nb6V2Mo", "functional": "PBE", "state": "relaxed", "dos_at_fermi_per_ev_cell": 10.16, "sg": "C2/m", "ef_mev_per_atom": 664, "vol_a3_per_atom": 19.52, "lattice_angstrom": [[4.371, 0.000, -0.166], [0.000, 6.143, 0.000], [-1.924, -3.071, 6.618]], "species": ["Nb", "Nb", "Nb", "Nb", "Nb", "V", "V", "Mo", "Nb"], "frac_coords": [[0.831, 0.084, 0.663], [0.500, 0.743, 0.000], [0.500, 0.257, 0.000], [0.169, 0.422, 0.337], [0.169, 0.916, 0.337], [0.333, 0.333, 0.666], [0.667, 0.667, 0.334], [0.000, 0.000, 0.000], [0.831, 0.578, 0.663]]}